Record 1
First-principles (PBE-GGA) data for a relaxed structure of Sm5OsCl5, as listed in Alexandria via LeMat-Bulk.

Geometry as POSCAR:
```
Sm5OsCl5
1.0
6.1368 -2.8380 0.0000
6.1368 2.8380 0.0000
-2.3711 0.0000 8.4558
Sm Os Cl
5 1 5
Direct
0.0000 0.0000 0.0000
0.3384 0.3384 0.1578
0.3457 0.3457 0.7062
0.6543 0.6543 0.2938
0.6616 0.6616 0.8422
0.5000 0.5000 0.0000
0.1245 0.1245 0.7473
0.1800 0.1800 0.3690
0.5000 0.5000 0.5000
0.8200 0.8200 0.6310
0.8755 0.8755 0.2527
```

SG: C2/m, No. 12
DFT total energy: -5.361 eV/atom
M_tot: 0.0 μB per cell
Uncorrected formation energy: -1356 meV/atom
Density of states at the Fermi level: 5.32 states/eV/cell

***

Record 2
First-principles (PBE-GGA) data for a relaxed structure of DyCdRh, as listed in Alexandria via LeMat-Bulk.

Geometry as POSCAR:
```
DyCdRh
1.0
2.4926 -4.3100 0.0000
2.4926 4.3100 0.0000
0.0000 0.0000 5.7965
Dy Cd Rh
2 2 2
Direct
0.1665 0.8335 0.7500
0.8335 0.1665 0.2500
0.5000 0.5000 0.0000
0.5000 0.5000 0.5000
0.1673 0.8327 0.2500
0.8327 0.1673 0.7500
```

SG: Cmcm, No. 63
DFT total energy: -4.829 eV/atom
M_tot: 0.0 μB per cell
DFT formation energy: -0.54 eV per atom
Density of states at the Fermi level: 2.62 states/eV/cell

***

Record 3
First-principles (PBE-GGA) data for a relaxed structure of Ba2NdZnO5, as listed in Alexandria via LeMat-Bulk.

Geometry as POSCAR:
```
Ba2NdZnO5
1.0
1.8408 -7.4931 0.0000
1.8408 7.4931 0.0000
0.0000 0.0000 11.5361
Ba Nd Zn O
4 2 2 10
Direct
0.1065 0.8935 0.5000
0.1378 0.8622 0.1572
0.8622 0.1378 0.6572
0.8935 0.1065 0.0000
0.1913 0.8087 0.8548
0.8087 0.1913 0.3548
0.4617 0.5383 0.2534
0.5383 0.4617 0.7534
0.0260 0.9740 0.8236
0.2957 0.7043 0.4850
0.3287 0.6713 0.2145
0.3410 0.6590 0.8297
0.4913 0.5087 0.5973
0.5087 0.4913 0.0973
0.6590 0.3410 0.3297
0.6713 0.3287 0.7145
0.7043 0.2957 0.9850
0.9740 0.0260 0.3236
```

SG: Cmc2_1, No. 36
DFT total energy: -6.139 eV/atom
M_tot: 2.2 μB per cell
Uncorrected formation energy: -2286 meV/atom
Density of states at the Fermi level: 14.04 states/eV/cell

***

Record 4
First-principles (PBE-GGA) data for a relaxed structure of LiBe2Re, as listed in Alexandria via LeMat-Bulk.

Geometry as POSCAR:
```
LiBe2Re
1.0
2.6462 0.0000 0.0000
0.0000 3.3071 0.0000
-0.2134 0.0000 5.4717
Li Be Re
1 2 1
Direct
0.0000 0.0000 0.0000
0.4905 0.5000 0.2886
0.5095 0.5000 0.7114
0.0000 0.0000 0.5000
```

SG: P2/m, No. 10
DFT total energy: -5.336 eV/atom
M_tot: 0.0 μB per cell
DFT formation energy: 0.12 eV per atom
E above lowest polymorph: 137 meV per atom
Density of states at the Fermi level: 2.55 states/eV/cell

***

Record 5
First-principles (PBE-GGA) data for a relaxed structure of PmSmInOs, as listed in Alexandria via LeMat-Bulk.

Geometry as POSCAR:
```
PmSmInOs
1.0
0.0000 3.6514 3.6514
3.6514 0.0000 3.6514
3.6514 3.6514 0.0000
Pm Sm In Os
1 1 1 1
Direct
0.0000 0.0000 0.0000
0.5000 0.5000 0.5000
0.7500 0.7500 0.7500
0.2500 0.2500 0.2500
```

SG: F-43m, No. 216
DFT total energy: -5.989 eV/atom
M_tot: 0.0 μB per cell
DFT formation energy: -0.13 eV per atom
Density of states at the Fermi level: 2.17 states/eV/cell

***

Record 6
First-principles (PBE-GGA) data for a relaxed structure of Pr5Te5Se2, as listed in Alexandria via LeMat-Bulk.

Geometry as POSCAR:
```
Pr5Te5Se2
1.0
7.3488 -2.1852 0.0000
7.3488 2.1852 0.0000
-3.6267 0.0000 12.6469
Pr Te Se
5 5 2
Direct
0.0000 0.0000 0.0000
0.1091 0.1091 0.4091
0.3151 0.3151 0.1959
0.6849 0.6849 0.8041
0.8909 0.8909 0.5909
0.2537 0.2537 0.6491
0.3355 0.3355 0.9482
0.5000 0.5000 0.5000
0.6645 0.6645 0.0518
0.7463 0.7463 0.3509
0.0402 0.0402 0.7907
0.9598 0.9598 0.2093
```

SG: C2/m, No. 12
DFT total energy: -5.456 eV/atom
M_tot: 0.0 μB per cell
Uncorrected formation energy: -1575 meV/atom
Density of states at the Fermi level: 1.96 states/eV/cell

***

Record 7
First-principles (PBE-GGA) data for a relaxed structure of GaOsF2, as listed in Alexandria via LeMat-Bulk.

Geometry as POSCAR:
```
GaOsF2
1.0
-3.5987 3.5987 2.4420
3.5987 -3.5987 2.4420
3.5987 3.5987 -2.4420
Ga Os F
2 2 4
Direct
0.0000 0.0000 0.0000
0.7500 0.2500 0.5000
0.2500 0.7500 0.5000
0.5000 0.5000 0.0000
0.2342 0.1250 0.6092
0.3750 0.7658 0.8908
0.5158 0.6250 0.3908
0.8750 0.4842 0.1092
```

SG: I-42d, No. 122
DFT total energy: -4.786 eV/atom
M_tot: 0.0 μB per cell
Uncorrected formation energy: -286 meV/atom
E above lowest polymorph: 627 meV per atom
Density of states at the Fermi level: 5.94 states/eV/cell

***

Record 8
First-principles (PBE-GGA) data for a relaxed structure of Y2TlOs, as listed in Alexandria via LeMat-Bulk.

Geometry as POSCAR:
```
Y2TlOs
1.0
-2.2117 2.2117 4.6404
2.2117 -2.2117 4.6404
2.2117 2.2117 -4.6404
Y Tl Os
2 1 1
Direct
0.0000 0.0000 0.0000
0.7500 0.2500 0.5000
0.5000 0.5000 0.0000
0.2500 0.7500 0.5000
```

SG: I-4m2, No. 119
DFT total energy: -6.564 eV/atom
M_tot: 0.0 μB per cell
DFT formation energy: 0.07 eV per atom
E above lowest polymorph: 374 meV per atom
Density of states at the Fermi level: 3.36 states/eV/cell

***

Record 9
First-principles (PBE-GGA) data for a relaxed structure of CaEr2ThP4, as listed in Alexandria via LeMat-Bulk.

Geometry as POSCAR:
```
CaEr2ThP4
1.0
6.9991 0.0000 0.0000
0.0000 4.0736 0.0000
-2.3155 0.0000 6.6509
Ca Er Th P
1 2 1 4
Direct
0.0000 0.0000 0.0000
0.0000 0.5000 0.5000
0.5000 0.0000 0.5000
0.5000 0.5000 0.0000
0.2486 0.0000 0.7410
0.2576 0.5000 0.2603
0.7424 0.5000 0.7397
0.7514 0.0000 0.2590
```

SG: P2/m, No. 10
DFT total energy: -6.506 eV/atom
M_tot: 0.0 μB per cell
DFT formation energy: -1.48 eV per atom
Density of states at the Fermi level: 0.96 states/eV/cell

***

Record 10
First-principles (PBE-GGA) data for a relaxed structure of RbTbCdTe3, as listed in Alexandria via LeMat-Bulk.

Geometry as POSCAR:
```
RbTbCdTe3
1.0
9.8359 0.0000 0.0000
0.0000 4.5438 0.0000
-3.6010 0.0000 10.3713
Rb Tb Cd Te
2 2 2 6
Direct
0.2154 0.2500 0.2438
0.7846 0.7500 0.7562
0.3283 0.7500 0.8645
0.6717 0.2500 0.1355
0.0831 0.2500 0.6096
0.9169 0.7500 0.3904
0.1096 0.2500 0.8718
0.2289 0.7500 0.5459
0.4660 0.7500 0.1575
0.5340 0.2500 0.8425
0.7711 0.2500 0.4541
0.8904 0.7500 0.1282
```

SG: P2_1/m, No. 11
DFT total energy: -3.720 eV/atom
M_tot: 0.0 μB per cell
Uncorrected formation energy: -1063 meV/atom

***

Record 11
First-principles (PBE-GGA) data for a relaxed structure of Mn5Se, as listed in Alexandria via LeMat-Bulk.

Geometry as POSCAR:
```
Mn5Se
1.0
0.0000 3.3858 3.3858
3.3858 0.0000 3.3858
3.3858 3.3858 0.0000
Mn Se
5 1
Direct
0.0000 0.0000 0.0000
0.3743 0.3743 0.3743
0.3743 0.3743 0.8771
0.3743 0.8771 0.3743
0.8771 0.3743 0.3743
0.7500 0.7500 0.7500
```

SG: F-43m, No. 216
DFT total energy: -7.785 eV/atom
M_tot: 2.2 μB per cell
Uncorrected formation energy: 437 meV/atom
E above lowest polymorph: 314 meV per atom
Density of states at the Fermi level: 8.68 states/eV/cell

***

Record 12
First-principles (PBE-GGA) data for a relaxed structure of CaY2AlRh, as listed in Alexandria via LeMat-Bulk.

Geometry as POSCAR:
```
CaY2AlRh
1.0
5.3692 0.0000 0.0000
0.0000 5.3692 0.0000
0.0000 0.0000 4.9333
Ca Y Al Rh
1 2 1 1
Direct
0.0000 0.0000 0.0000
0.0000 0.5000 0.5000
0.5000 0.0000 0.5000
0.5000 0.5000 0.0000
0.5000 0.5000 0.5000
```

SG: P4/mmm, No. 123
DFT total energy: -5.552 eV/atom
M_tot: 0.0 μB per cell
DFT formation energy: -0.35 eV per atom
Density of states at the Fermi level: 2.84 states/eV/cell

***

Record 13
First-principles (PBE-GGA) data for a relaxed structure of KHgPb2, as listed in Alexandria via LeMat-Bulk.

Geometry as POSCAR:
```
KHgPb2
1.0
3.8994 0.0000 0.0000
0.0000 5.5762 0.0000
0.0000 0.0000 6.0293
K Hg Pb
1 1 2
Direct
0.0000 0.0000 0.0000
0.5000 0.5000 0.0000
0.0000 0.5000 0.5000
0.5000 0.0000 0.5000
```

SG: Pmmm, No. 47
DFT total energy: -2.242 eV/atom
M_tot: 0.0 μB per cell
DFT formation energy: -0.04 eV per atom
Density of states at the Fermi level: 2.41 states/eV/cell

***

Record 14
First-principles (PBE-GGA) data for a relaxed structure of Y2AlNi, as listed in Alexandria via LeMat-Bulk.

Geometry as POSCAR:
```
Y2AlNi
1.0
1.8473 1.0666 8.1182
-1.8473 1.0666 8.1182
0.0000 -2.1331 8.1182
Y Al Ni
2 1 1
Direct
0.2385 0.2385 0.2385
0.7615 0.7615 0.7615
0.0000 0.0000 0.0000
0.5000 0.5000 0.5000
```

SG: R-3m, No. 166
DFT total energy: -5.761 eV/atom
M_tot: 0.0 μB per cell
DFT formation energy: -0.15 eV per atom
Density of states at the Fermi level: 4.95 states/eV/cell

***

Record 15
First-principles (PBE-GGA) data for a relaxed structure of CeNdAgHg, as listed in Alexandria via LeMat-Bulk.

Geometry as POSCAR:
```
CeNdAgHg
1.0
0.0000 3.7906 3.7906
3.7906 0.0000 3.7906
3.7906 3.7906 0.0000
Ce Nd Ag Hg
1 1 1 1
Direct
0.0000 0.0000 0.0000
0.5000 0.5000 0.5000
0.7500 0.7500 0.7500
0.2500 0.2500 0.2500
```

SG: F-43m, No. 216
DFT total energy: -3.719 eV/atom
M_tot: 1.4 μB per cell
DFT formation energy: -0.26 eV per atom
Density of states at the Fermi level: 10.82 states/eV/cell

***

Record 16
First-principles (PBE-GGA) data for a relaxed structure of Nd6Pb2N, as listed in Alexandria via LeMat-Bulk.

Geometry as POSCAR:
```
Nd6Pb2N
1.0
0.0000 5.0706 5.0706
5.0706 0.0000 5.0706
5.0706 5.0706 0.0000
Nd Pb N
6 2 1
Direct
0.2444 0.2444 0.7556
0.2444 0.7556 0.2444
0.2444 0.7556 0.7556
0.7556 0.2444 0.2444
0.7556 0.2444 0.7556
0.7556 0.7556 0.2444
0.2500 0.2500 0.2500
0.7500 0.7500 0.7500
0.0000 0.0000 0.0000
```

SG: Fm-3m, No. 225
DFT total energy: -5.497 eV/atom
M_tot: 0.0 μB per cell
Uncorrected formation energy: -569 meV/atom
E above lowest polymorph: 0 meV per atom
Density of states at the Fermi level: 8.95 states/eV/cell

***

Record 17
First-principles (PBE-GGA) data for a relaxed structure of NdAgAs2O8, as listed in Alexandria via LeMat-Bulk.

Geometry as POSCAR:
```
NdAgAs2O8
1.0
-3.6537 3.6537 3.2783
3.6537 -3.6537 3.2783
3.6537 3.6537 -3.2783
Nd Ag As O
1 1 2 8
Direct
0.0000 0.0000 0.0000
0.7500 0.2500 0.5000
0.2500 0.7500 0.5000
0.5000 0.5000 0.0000
0.0816 0.4018 0.3201
0.0816 0.7615 0.6799
0.1476 0.3244 0.8232
0.2385 0.9184 0.3201
0.5012 0.3244 0.1768
0.5982 0.9184 0.6799
0.6756 0.4988 0.8232
0.6756 0.8524 0.1768
```

SG: I-4m2, No. 119
DFT total energy: -6.055 eV/atom
M_tot: 2.0 μB per cell
Uncorrected formation energy: -1339 meV/atom
Density of states at the Fermi level: 9.38 states/eV/cell

***

Record 18
First-principles (PBE-GGA) data for a relaxed structure of Cr2TcSeS, as listed in Alexandria via LeMat-Bulk.

Geometry as POSCAR:
```
Cr2TcSeS
1.0
4.1835 0.0000 0.0000
0.0000 4.1835 0.0000
0.0000 0.0000 5.0012
Cr Tc Se S
2 1 1 1
Direct
0.0000 0.5000 0.0000
0.5000 0.0000 0.0000
0.0000 0.0000 0.5000
0.5000 0.5000 0.5000
0.5000 0.5000 0.0000
```

SG: P4/mmm, No. 123
DFT total energy: -6.410 eV/atom
M_tot: 6.4 μB per cell
Uncorrected formation energy: 1035 meV/atom
Density of states at the Fermi level: 6.70 states/eV/cell

***

Record 19
First-principles (PBE-GGA) data for a relaxed structure of Cs5SmO4, as listed in Alexandria via LeMat-Bulk.

Geometry as POSCAR:
```
Cs5SmO4
1.0
8.6355 0.0000 0.0000
0.0000 10.0565 0.0000
0.0000 0.0000 7.0308
Cs Sm O
10 2 8
Direct
0.0115 0.0637 0.2442
0.0115 0.4363 0.2442
0.2500 0.7500 0.3232
0.4885 0.0637 0.2442
0.4885 0.4363 0.2442
0.5115 0.5637 0.7558
0.5115 0.9363 0.7558
0.7500 0.2500 0.6768
0.9885 0.5637 0.7558
0.9885 0.9363 0.7558
0.2500 0.2500 0.7195
0.7500 0.7500 0.2805
0.0304 0.2500 0.8886
0.2500 0.0616 0.5451
0.2500 0.4384 0.5451
0.4696 0.2500 0.8886
0.5304 0.7500 0.1114
0.7500 0.5616 0.4549
0.7500 0.9384 0.4549
0.9696 0.7500 0.1114
```

SG: Pmmn, No. 59
DFT total energy: -4.478 eV/atom
M_tot: 0.0 μB per cell
Uncorrected formation energy: -1597 meV/atom
Density of states at the Fermi level: 0.00 states/eV/cell

***

Record 20
First-principles (PBE-GGA) data for a relaxed structure of MgSc2SbI, as listed in Alexandria via LeMat-Bulk.

Geometry as POSCAR:
```
MgSc2SbI
1.0
5.2683 0.0000 0.0000
0.0000 5.2683 0.0000
0.0000 0.0000 6.0183
Mg Sc Sb I
1 2 1 1
Direct
0.0000 0.0000 0.0000
0.0000 0.5000 0.5000
0.5000 0.0000 0.5000
0.5000 0.5000 0.0000
0.5000 0.5000 0.5000
```

SG: P4/mmm, No. 123
DFT total energy: -3.457 eV/atom
M_tot: 0.0 μB per cell
Uncorrected formation energy: 529 meV/atom
Density of states at the Fermi level: 6.13 states/eV/cell

***

Record 21
First-principles (PBE-GGA) data for a relaxed structure of Th4Bi5H, as listed in Alexandria via LeMat-Bulk.

Geometry as POSCAR:
```
Th4Bi5H
1.0
9.2269 -1.7423 0.0000
9.2269 1.7423 0.0000
-0.2327 0.0000 9.5092
Th Bi H
4 5 1
Direct
0.0132 0.0132 0.3100
0.3525 0.3525 0.4334
0.6475 0.6475 0.5666
0.9868 0.9868 0.6900
0.1501 0.1501 0.8841
0.1911 0.1911 0.2703
0.5000 0.5000 0.0000
0.8089 0.8089 0.7297
0.8499 0.8499 0.1159
0.5000 0.5000 0.5000
```

SG: C2/m, No. 12
DFT total energy: -5.420 eV/atom
M_tot: 0.0 μB per cell
Density of states at the Fermi level: 9.55 states/eV/cell

***

Record 22
First-principles (PBE-GGA) data for a relaxed structure of Pu5Th, as listed in Alexandria via LeMat-Bulk.

Geometry as POSCAR:
```
Pu5Th
1.0
2.5989 -6.3159 0.0000
2.5989 6.3159 0.0000
0.0000 0.0000 4.1078
Pu Th
5 1
Direct
0.0000 0.0000 0.0000
0.1697 0.8303 0.5000
0.2842 0.7158 0.0000
0.7158 0.2842 0.0000
0.8303 0.1697 0.5000
0.5000 0.5000 0.5000
```

SG: Cmmm, No. 65
DFT total energy: -12.956 eV/atom
M_tot: 3.7 μB per cell
DFT formation energy: 0.22 eV per atom
Density of states at the Fermi level: 19.71 states/eV/cell

***

Record 23
First-principles (PBE-GGA) data for a relaxed structure of NaZn2Au9, as listed in Alexandria via LeMat-Bulk.

Geometry as POSCAR:
```
NaZn2Au9
1.0
9.2397 0.0000 0.0000
-4.6199 8.0018 0.0000
0.0000 0.0000 2.9326
Na Zn Au
1 2 9
Direct
0.0000 0.0000 0.0000
0.3333 0.6667 0.0000
0.6667 0.3333 0.0000
0.0000 0.5000 0.0000
0.1794 0.3589 0.5000
0.1794 0.8206 0.5000
0.3589 0.1794 0.5000
0.5000 0.0000 0.0000
0.5000 0.5000 0.0000
0.6411 0.8206 0.5000
0.8206 0.1794 0.5000
0.8206 0.6411 0.5000
```

SG: P6/mmm, No. 191
DFT total energy: -2.899 eV/atom
M_tot: 0.0 μB per cell
DFT formation energy: -0.12 eV per atom
E above lowest polymorph: 28 meV per atom
Density of states at the Fermi level: 4.04 states/eV/cell

***

Record 24
First-principles (PBE-GGA) data for a relaxed structure of Ce2Er2ZnGa4, as listed in Alexandria via LeMat-Bulk.

Geometry as POSCAR:
```
Ce2Er2ZnGa4
1.0
-3.5672 3.5672 4.1929
3.5672 -3.5672 4.1929
3.5672 3.5672 -4.1929
Ce Er Zn Ga
2 2 1 4
Direct
0.1649 0.1649 0.0000
0.8351 0.8351 0.0000
0.2500 0.7500 0.5000
0.7500 0.2500 0.5000
0.5000 0.5000 0.0000
0.2640 0.2640 0.5281
0.2640 0.7360 0.0000
0.7360 0.2640 0.0000
0.7360 0.7360 0.4719
```

SG: I4/mmm, No. 139
DFT total energy: -4.039 eV/atom
M_tot: 1.9 μB per cell
DFT formation energy: -0.22 eV per atom
Density of states at the Fermi level: 11.56 states/eV/cell